The following is a GGA+U calculation of crystalline BaHfMo2O at its relaxed geometry, from Alexandria via LeMat-Bulk.

Cell lengths 6.0399, 5.7083, 6.0399 Å; angles 90.00, 90.00, 90.00 degrees
Closest atoms and distances in Å follow each position.
Atoms (fractional coordinates):
Mo 0.0000 0.0000 0.5000  2 Ba 3.02
Mo 0.5000 0.0000 0.0000  2 Ba 3.02
Hf 0.0000 0.5000 0.0000  2 Ba 2.85
Ba 0.0000 0.0000 0.0000  2 Hf 2.85, 4 Mo 3.02
O 0.5000 0.5000 0.5000  8 Mo 4.16, 4 Hf 4.27

Calculated values
V ... 41.65 A^3/atom
Crystal system ... tetragonal
Final energy ... -3.25 eV per atom
Mass density ... 4.176 g cm⁻³
Fermi-level density of states ... 7.52 states/eV/cell


The following is a GGA+U calculation of crystalline Ba3Hf2MoO9 at its relaxed geometry, from Alexandria via LeMat-Bulk.

Cell lengths 5.9027, 5.9027, 7.2898 Å; angles 90.00, 90.00, 120.00 degrees
Closest atoms and distances in Å follow each position.
Atoms (fractional coordinates):
Ba 0.3333 0.6667 0.6647  12 O 2.95-2.98
Ba 0.0000 0.0000 0.0000  12 O 2.95
Ba 0.6667 0.3333 0.3353  12 O 2.95-2.98
Hf 0.3333 0.6667 0.1668  6 O 2.09-2.10
Hf 0.6667 0.3333 0.8332  6 O 2.09-2.10
Mo 0.0000 0.0000 0.5000  6 O 2.09
O 0.8347 0.1653 0.6678  1 Mo 2.09, 1 Hf 2.10
O 0.8347 0.6694 0.6678  1 Mo 2.09, 1 Hf 2.10
O 0.3306 0.1653 0.6678  1 Mo 2.09, 1 Hf 2.10
O 0.6694 0.8347 0.3322  1 Mo 2.09, 1 Hf 2.10
O 0.1653 0.3306 0.3322  1 Mo 2.09, 1 Hf 2.10
O 0.1653 0.8347 0.3322  1 Mo 2.09, 1 Hf 2.10
O 0.5000 0.0000 0.0000  2 Hf 2.09
O 0.0000 0.5000 0.0000  2 Hf 2.09
O 0.5000 0.5000 0.0000  2 Hf 2.09

Calculated values
V ... 14.66 A^3/atom
Crystal system ... trigonal
Final energy ... -8.16 eV per atom
Mass density ... 7.616 g cm⁻³


The following is a GGA+U calculation of crystalline Ba2HfMo3O12 at its relaxed geometry, from Alexandria via LeMat-Bulk.

Cell lengths 7.4300, 7.4300, 7.4300 Å; angles 60.74, 60.74, 60.74 degrees
Closest atoms and distances in Å follow each position.
Atoms (fractional coordinates):
Ba 0.6798 0.6798 0.6798  6 O 2.75-2.84
Ba 0.3202 0.3202 0.3202  6 O 2.75-2.84
Hf 0.0000 0.0000 0.0000  6 O 2.07
Mo 0.5000 0.0000 0.0000  6 O 1.93-1.99
Mo 0.0000 0.5000 0.0000  6 O 1.93-1.99
Mo 0.0000 0.0000 0.5000  6 O 1.93-1.99
O 0.3134 0.3134 0.9449  2 Mo 1.99
O 0.9294 0.9294 0.3291  1 Mo 1.93, 1 Hf 2.07
O 0.3291 0.9294 0.9294  1 Mo 1.93, 1 Hf 2.07
O 0.9449 0.3134 0.3134  2 Mo 1.99
O 0.9294 0.3291 0.9294  1 Mo 1.93, 1 Hf 2.07
O 0.3134 0.9449 0.3134  2 Mo 1.99
O 0.6866 0.6866 0.0551  2 Mo 1.99
O 0.0706 0.0706 0.6709  1 Mo 1.93, 1 Hf 2.07
O 0.6709 0.0706 0.0706  1 Mo 1.93, 1 Hf 2.07
O 0.0551 0.6866 0.6866  2 Mo 1.99
O 0.0706 0.6709 0.0706  1 Mo 1.93, 1 Hf 2.07
O 0.6866 0.0551 0.6866  2 Mo 1.99

Calculated values
V ... 16.38 A^3/atom
Crystal system ... trigonal
Final energy ... -7.47 eV per atom
Mass density ... 5.254 g cm⁻³
Fermi-level density of states ... 1.77 states/eV/cell


- Which of these has the lowest mass density?
  BaHfMo2O


Repeat the second record exactly.
The following is a GGA+U calculation of crystalline Ba3Hf2MoO9 at its relaxed geometry, from Alexandria via LeMat-Bulk.

Cell lengths 5.9027, 5.9027, 7.2898 Å; angles 90.00, 90.00, 120.00 degrees
Closest atoms and distances in Å follow each position.
Atoms (fractional coordinates):
Ba 0.3333 0.6667 0.6647  12 O 2.95-2.98
Ba 0.0000 0.0000 0.0000  12 O 2.95
Ba 0.6667 0.3333 0.3353  12 O 2.95-2.98
Hf 0.3333 0.6667 0.1668  6 O 2.09-2.10
Hf 0.6667 0.3333 0.8332  6 O 2.09-2.10
Mo 0.0000 0.0000 0.5000  6 O 2.09
O 0.8347 0.1653 0.6678  1 Mo 2.09, 1 Hf 2.10
O 0.8347 0.6694 0.6678  1 Mo 2.09, 1 Hf 2.10
O 0.3306 0.1653 0.6678  1 Mo 2.09, 1 Hf 2.10
O 0.6694 0.8347 0.3322  1 Mo 2.09, 1 Hf 2.10
O 0.1653 0.3306 0.3322  1 Mo 2.09, 1 Hf 2.10
O 0.1653 0.8347 0.3322  1 Mo 2.09, 1 Hf 2.10
O 0.5000 0.0000 0.0000  2 Hf 2.09
O 0.0000 0.5000 0.0000  2 Hf 2.09
O 0.5000 0.5000 0.0000  2 Hf 2.09

Calculated values
V ... 14.66 A^3/atom
Crystal system ... trigonal
Final energy ... -8.16 eV per atom
Mass density ... 7.616 g cm⁻³